No. 1
# BaMgS2N

An optimized crystal structure of BaMgS2N (GGA-PBE, Alexandria via LeMat-Bulk).

abc: 5.069 5.069 4.331
angles: 90.00 90.00 90.00
Space group P4/mmm (No. 123)
Asymmetric unit:
1 Ba 0.000 0.000 0.000 x1
2 Mg 0.500 0.500 0.500 x1
3 S 0.000 0.500 0.500 x2
4 N 0.500 0.500 0.000 x1

## Properties
Spin magnetization, Bohr magnetons per cell: 2.985
E_form (uncorrected), eV/atom: -0.476
Energy relative to the lowest polymorph listed for this composition, eV per atom: 0.0000

=====

No. 2
# BaMgS2N

An optimized crystal structure of BaMgS2N (GGA-PBE, Alexandria via LeMat-Bulk).

abc: 5.773 5.773 4.700
angles: 90.00 90.00 90.00
Space group P4/mmm (No. 123)
Asymmetric unit:
1 Ba 0.000 0.000 0.000 x1
2 Mg 0.500 0.500 0.500 x1
3 S 0.000 0.500 0.000 x2
4 N 0.000 0.000 0.500 x1

## Properties
Spin magnetization, Bohr magnetons per cell: 1.607
E_form (uncorrected), eV/atom: 0.762
Energy relative to the lowest polymorph listed for this composition, eV per atom: 1.2378